[1]
A relaxed structure of AcBRu2C, computed with PBE-GGA.

Lattice parameters (Å, degrees): 4.2137 10.5456 7.0207 90.00 90.00 90.00
Space group Cmcm (No. 63)
Asymmetric unit:
Ac 0.0000 0.0401 0.2500 x4
B 0.0000 0.2480 0.7500 x4
Ru 0.0000 0.3220 0.0463 x8
C 0.0000 0.5000 0.0000 x4

Results
E_form	-0.0135	eV/atom



[2]
A relaxed structure of RhSeS4, computed with PBE-GGA.

Lattice parameters (Å, degrees): 5.8554 6.7662 7.2405 64.38 68.04 85.92
Space group P-1 (No. 2)
Asymmetric unit:
Rh 0.0000 0.0000 0.0000 x1
Rh 0.5000 0.5000 0.0000 x1
Se 0.1634 0.7954 0.5896 x2
S 0.1703 0.7016 0.9156 x2
S 0.2009 0.4198 0.3537 x2
S 0.2864 0.2219 0.6187 x2
S 0.3526 0.0706 0.0715 x2

Results
ΔE_f (raw)	0.06	eV per atom



[3]
A relaxed structure of Pr2Cu2Pt5Au, computed with PBE-GGA.

Lattice parameters (Å, degrees): 9.4645 9.4645 4.0393 90.00 90.00 90.00
Space group P4/mbm (No. 127)
Asymmetric unit:
Pr 0.1809 0.3191 0.0000 x4
Cu 0.1170 0.6170 0.0000 x4
Pt 0.0000 0.5000 0.5000 x2
Pt 0.0639 0.7904 0.5000 x8
Au 0.0000 0.0000 0.0000 x2

Results
E_form	-0.6823	eV/atom



[4]
A relaxed structure of HfMn2As2, computed with PBE-GGA.

Lattice parameters (Å, degrees): 7.1179 7.1179 3.2018 90.00 90.00 90.00
Space group P4/mbm (No. 127)
Asymmetric unit:
Hf 0.0000 0.0000 0.0000 x2
Mn 0.1407 0.3593 0.5000 x4
As 0.1506 0.6506 0.0000 x4

Results
E_form	-0.2797	eV/atom
polymorph energy (0 for the lowest one)	0.0	meV/atom



In μB/atom, the spin magnetization values for the records above are, in order, 0.00 0.00 0.00 1.20.
In states/eV per atom, the DOS(E_F) values for the records above are, in order, 0.5920 0.5610 0.2948 0.4299.